A plane-wave DFT calculation with GGA-PBE was carried out for a relaxed Ba4NaZn2 crystal.

```
7
Lattice="5.862 0.000 0.000 2.931 5.076 0.000 2.931 1.692 10.561" Properties=species:S:1:pos:R:3 pbc="T T T"
Ba 8.792 5.076 3.554
Ba 2.931 1.692 1.192
Ba 2.931 1.692 7.008
Ba 8.792 5.076 9.369
Zn 5.862 3.384 8.289
Zn 5.862 3.384 2.272
Na 5.862 3.384 5.281
```

energy of formation: 0 meV/atom
size of the total moment: 0.0 μB per formula unit
total DFT energy (no corrections): -1.65 eV per atom
symmetry: No. 166